Here is BaScSe2 after structural relaxation from Alexandria. Energies are from PBE.

a b c (Å): 4.049 3.972 14.894
angles (deg): 90.00 90.00 90.00
Space group Amm2 (No. 38)
Unique sites:
Ba 0.000 0.000 0.000 [2 per cell]
Sc 0.500 0.000 0.767 [2 per cell]
Se 0.000 0.000 0.306 [2 per cell]
Se 0.500 0.000 0.595 [2 per cell]

Output
ΔE_f (raw): -1.50 eV per atom
Energy above the most stable polymorph in this dataset: 0.243 eV/atom